1.
LiCaFe2: optimized geometry, PBE.

Results
As for the formation energy: 0.736 eV per atom. The value obtained for the raw total energy is -35.791 eV/cell. As for the symmetry: I-42d (122).

Lattice parameters (Å, degrees): 9.660 9.660 9.660 154.86 154.86 35.85
Element x y z (fractional)
Li 0.000 0.000 0.000
Li 0.750 0.250 0.500
Ca 0.250 0.750 0.500
Ca 0.500 0.500 0.000
Fe 0.375 0.040 0.165
Fe 0.790 0.625 0.665
Fe 0.875 0.210 0.835
Fe 0.960 0.125 0.335

---

2.
LiCaFe2: optimized geometry, PBE.

Results
As for the formation energy: 0.605 eV per atom. The value obtained for the raw total energy is -18.421 eV/cell. As for the symmetry: C2/m (12).

Lattice parameters (Å, degrees): 5.451 5.451 2.809 100.58 100.58 122.84
Element x y z (fractional)
Li 0.000 0.000 0.000
Ca 0.500 0.500 0.000
Fe 0.000 0.500 0.500
Fe 0.500 0.000 0.500